The following is a PBE calculation of a relaxed AlSiMoCl2 crystal, from Alexandria via LeMat-Bulk.

Computed properties:
For the final energy, the calculation gives -4.1184 eV per atom. The density of states at the Fermi level comes out at 0.894 states/eV per atom. The raw formation energy is 0.620 eV per atom. Its volume is 110 Å³/cell.

Unit cell a=4.578 b=4.578 c=5.229 alpha=90.00 beta=90.00 gamma=90.00
Space group P4/mmm (No. 123)
Asymmetric unit:
Al1 0.000 0.000 0.000 (multiplicity 1)
Si1 0.000 0.000 0.500 (multiplicity 1)
Mo1 0.500 0.500 0.500 (multiplicity 1)
Cl1 0.000 0.500 0.000 (multiplicity 2)